Computed, not measured: crystalline CdHg3Pb5 at its relaxed geometry at the PBE level of DFT.

Properties
VASP energy: -2.16 eV per atom
energy of formation from the pure elements: 0.1000 eV/atom

Unit cell a=7.7372 b=7.7373 c=10.5696 alpha=111.47 beta=111.47 gamma=90.00
With the nearest neighbours (Å) after each atom.
Positions (direct):
Cd (0.2500, 0.7500, 0.5000)  8 Pb 3.13-3.45
Cd (0.7500, 0.2500, 0.5000)  8 Pb 3.13-3.45
Hg (0.8725, 0.6275, 0.0000)  1 Hg 2.79, 4 Pb 3.05-3.11
Hg (0.1275, 0.3725, 0.0000)  1 Hg 2.79, 4 Pb 3.05-3.11
Hg (0.3725, 0.8725, 0.0000)  1 Hg 2.79, 4 Pb 3.05-3.11
Hg (0.6275, 0.1275, 0.0000)  1 Hg 2.79, 4 Pb 3.05-3.11
Hg (0.2500, 0.2500, 0.5000)  8 Pb 3.29
Hg (0.7500, 0.7500, 0.5000)  8 Pb 3.29
Pb (0.1188, 0.0829, 0.7017)  3 Hg 3.11-3.29, 2 Cd 3.13-3.45
Pb (0.5829, 0.6188, 0.7017)  3 Hg 3.11-3.29, 2 Cd 3.13-3.45
Pb (0.6188, 0.1188, 0.7017)  3 Hg 3.11-3.29, 2 Cd 3.13-3.45
Pb (0.0829, 0.5829, 0.7017)  3 Hg 3.11-3.29, 2 Cd 3.13-3.45
Pb (0.8812, 0.9171, 0.2983)  3 Hg 3.11-3.29, 2 Cd 3.13-3.45
Pb (0.4171, 0.3812, 0.2983)  3 Hg 3.11-3.29, 2 Cd 3.13-3.45
Pb (0.3812, 0.8812, 0.2983)  3 Hg 3.11-3.29, 2 Cd 3.13-3.45
Pb (0.9171, 0.4171, 0.2983)  3 Hg 3.11-3.29, 2 Cd 3.13-3.45
Pb (0.5000, 0.5000, 0.0000)  4 Hg 3.05
Pb (0.0000, 0.0000, 0.0000)  4 Hg 3.05